VASP calculation (meta-GGA SCAN) on a PBEsol-optimized structure of UBiTe.

Values from the calculation:
**Symmetry**: P4/nmm, No. 129
**Formation energy without anion corrections**: -296 meV per atom
**Magnetic moment**: 2.74 μB per formula unit
**Uncorrected energy**: -73.415 eV per atom

Cell: 4.3408 4.3408 8.8976 Å, 90.00 90.00 90.00°
Last column: nearest neighbours and their distance in Å.
Element x y z (fractional)
Te 0.0000 0.5000 0.3621  5 U 3.12-3.14
Te 0.5000 0.0000 0.6379  5 U 3.12-3.14
U 0.5000 0.0000 0.2869  5 Te 3.12-3.14, 4 Bi 3.35
U 0.0000 0.5000 0.7131  5 Te 3.12-3.14, 4 Bi 3.35
Bi 0.0000 0.0000 0.0000  4 Bi 3.07, 4 U 3.35
Bi 0.5000 0.5000 0.0000  4 Bi 3.07, 4 U 3.35

VASP calculation (meta-GGA SCAN) on a PBEsol-optimized structure of BiTeW2.

Values from the calculation:
**Symmetry**: Fm-3m, No. 225
**Formation energy without anion corrections**: 1137 meV per atom
**Magnetic moment**: 0.00 μB per formula unit
**Uncorrected energy**: -62.665 eV per atom

Cell: 4.7326 4.7326 4.7326 Å, 60.00 60.00 60.00°
Last column: nearest neighbours and their distance in Å.
Element x y z (fractional)
Te 0.0000 0.0000 0.0000  8 W 2.90
Bi 0.5000 0.5000 0.5000  8 W 2.90
W 0.2500 0.2500 0.2500  4 Bi 2.90, 4 Te 2.90
W 0.7500 0.7500 0.7500  4 Bi 2.90, 4 Te 2.90

VASP calculation (meta-GGA SCAN) on a PBEsol-optimized structure of YBi3Te.

Values from the calculation:
**Symmetry**: Pm-3m, No. 221
**Formation energy without anion corrections**: 489 meV per atom
**Magnetic moment**: 0.00 μB per formula unit
**Uncorrected energy**: -59.678 eV per atom

Cell: 5.7025 5.7025 5.7025 Å, 90.00 90.00 90.00°
Last column: nearest neighbours and their distance in Å.
Element x y z (fractional)
Y 0.5000 0.5000 0.5000  12 Bi 4.03
Te 0.0000 0.0000 0.0000  6 Bi 2.85
Bi 0.0000 0.5000 0.0000  2 Te 2.85
Bi 0.0000 0.0000 0.5000  2 Te 2.85
Bi 0.5000 0.0000 0.0000  2 Te 2.85

VASP calculation (meta-GGA SCAN) on a PBEsol-optimized structure of ZnBi2Te2.

Values from the calculation:
**Symmetry**: P4/mbm, No. 127
**Formation energy without anion corrections**: 251 meV per atom
**Magnetic moment**: 0.00 μB per formula unit
**Uncorrected energy**: -48.784 eV per atom

Cell: 4.7445 7.7874 7.7874 Å, 90.00 90.00 90.00°
Last column: nearest neighbours and their distance in Å.
Element x y z (fractional)
Zn 0.0000 0.0000 0.0000  4 Te 2.89
Zn 0.0000 0.5000 0.5000  4 Te 2.89
Te 0.0000 0.3297 0.8297  2 Zn 2.89, 2 Bi 3.11
Te 0.0000 0.8297 0.6703  2 Zn 2.89, 2 Bi 3.11
Te 0.0000 0.6703 0.1703  2 Zn 2.89, 2 Bi 3.11
Te 0.0000 0.1703 0.3297  2 Zn 2.89, 2 Bi 3.11
Bi 0.5000 0.1478 0.6478  6 Te 3.11-3.43, 1 Bi 3.25
Bi 0.5000 0.6478 0.8522  6 Te 3.11-3.43, 1 Bi 3.25
Bi 0.5000 0.8522 0.3522  6 Te 3.11-3.43, 1 Bi 3.25
Bi 0.5000 0.3522 0.1478  6 Te 3.11-3.43, 1 Bi 3.25

VASP calculation (meta-GGA SCAN) on a PBEsol-optimized structure of ThBi3.

Values from the calculation:
**Symmetry**: Pm-3m, No. 221
**Magnetic moment**: 0.00 μB per formula unit
**Energy relative to the elements**: -0.32 eV/atom
**Uncorrected energy**: -83.236 eV per atom

Cell: 4.8953 4.8953 4.8953 Å, 90.00 90.00 90.00°
Last column: nearest neighbours and their distance in Å.
Element x y z (fractional)
Bi 0.5000 0.0000 0.5000  8 Bi 3.46, 4 Th 3.46
Bi 0.0000 0.5000 0.5000  8 Bi 3.46, 4 Th 3.46
Bi 0.5000 0.5000 0.0000  8 Bi 3.46, 4 Th 3.46
Th 0.0000 0.0000 0.0000  12 Bi 3.46

VASP calculation (meta-GGA SCAN) on a PBEsol-optimized structure of TiTlBi3.

Values from the calculation:
**Symmetry**: Pm-3m, No. 221
**Magnetic moment**: 0.00 μB per formula unit
**Energy relative to the elements**: 0.11 eV/atom
**Uncorrected energy**: -64.714 eV per atom

Cell: 5.3886 5.3886 5.3886 Å, 90.00 90.00 90.00°
Last column: nearest neighbours and their distance in Å.
Element x y z (fractional)
Tl 0.5000 0.5000 0.5000  12 Bi 3.81
Bi 0.0000 0.5000 0.0000  2 Ti 2.69
Bi 0.0000 0.0000 0.5000  2 Ti 2.69
Bi 0.5000 0.0000 0.0000  2 Ti 2.69
Ti 0.0000 0.0000 0.0000  6 Bi 2.69

VASP calculation (meta-GGA SCAN) on a PBEsol-optimized structure of YTi3Bi.

Values from the calculation:
**Symmetry**: Pm-3m, No. 221
**Magnetic moment**: 1.37 μB per formula unit
**Energy relative to the elements**: 0.79 eV/atom
**Uncorrected energy**: -30.114 eV per atom

Cell: 5.1092 5.1092 5.1092 Å, 90.00 90.00 90.00°
Last column: nearest neighbours and their distance in Å.
Element x y z (fractional)
Y 0.5000 0.5000 0.5000  12 Ti 3.61
Bi 0.0000 0.0000 0.0000  6 Ti 2.55
Ti 0.0000 0.5000 0.0000  2 Bi 2.55
Ti 0.0000 0.0000 0.5000  2 Bi 2.55
Ti 0.5000 0.0000 0.0000  2 Bi 2.55

VASP calculation (meta-GGA SCAN) on a PBEsol-optimized structure of TiZnBi2.

Values from the calculation:
**Symmetry**: I-42d, No. 122
**Magnetic moment**: 0.00 μB per formula unit
**Energy relative to the elements**: 0.29 eV/atom
**Uncorrected energy**: -46.382 eV per atom

Cell: 6.3582 6.3582 7.6534 Å, 114.54 114.54 90.00°
Last column: nearest neighbours and their distance in Å.
Element x y z (fractional)
Zn 0.2500 0.7500 0.5000  4 Bi 2.73
Zn 0.0000 0.0000 0.0000  4 Bi 2.73
Bi 0.8741 0.3750 0.2500  2 Ti 2.73, 2 Zn 2.73
Bi 0.3759 0.8750 0.2500  2 Ti 2.73, 2 Zn 2.73
Bi 0.6250 0.6241 0.7500  2 Ti 2.73, 2 Zn 2.73
Bi 0.1250 0.1259 0.7500  2 Ti 2.73, 2 Zn 2.73
Ti 0.7500 0.2500 0.5000  4 Bi 2.73
Ti 0.5000 0.5000 0.0000  4 Bi 2.73

VASP calculation (meta-GGA SCAN) on a PBEsol-optimized structure of ZrTi3Bi.

Values from the calculation:
**Symmetry**: Pm-3m, No. 221
**Magnetic moment**: 2.25 μB per formula unit
**Energy relative to the elements**: 0.97 eV/atom
**Uncorrected energy**: -30.499 eV per atom

Cell: 4.8051 4.8051 4.8051 Å, 90.00 90.00 90.00°
Last column: nearest neighbours and their distance in Å.
Element x y z (fractional)
Bi 0.5000 0.5000 0.5000  12 Ti 3.40
Zr 0.0000 0.0000 0.0000  6 Ti 2.40
Ti 0.0000 0.5000 0.0000  2 Zr 2.40
Ti 0.0000 0.0000 0.5000  2 Zr 2.40
Ti 0.5000 0.0000 0.0000  2 Zr 2.40

VASP calculation (meta-GGA SCAN) on a PBEsol-optimized structure of TlBi2.

Values from the calculation:
**Symmetry**: P6/mmm, No. 191
**Magnetic moment**: 0.00 μB per formula unit
**Energy relative to the elements**: 0.01 eV/atom
**Uncorrected energy**: -76.497 eV per atom

Cell: 5.5885 5.5885 3.3810 Å, 90.00 90.00 120.00°
Last column: nearest neighbours and their distance in Å.
Element x y z (fractional)
Tl 0.0000 0.0000 0.0000  2 Tl 3.38, 12 Bi 3.64
Bi 0.6667 0.3333 0.5000  5 Bi 3.23-3.38
Bi 0.3333 0.6667 0.5000  5 Bi 3.23-3.38

VASP calculation (meta-GGA SCAN) on a PBEsol-optimized structure of TlBi3.

Values from the calculation:
**Symmetry**: Pm-3m, No. 221
**Magnetic moment**: 0.00 μB per formula unit
**Energy relative to the elements**: 0.13 eV/atom
**Uncorrected energy**: -76.889 eV per atom

Cell: 4.9343 4.9343 4.9343 Å, 90.00 90.00 90.00°
Last column: nearest neighbours and their distance in Å.
Element x y z (fractional)
Tl 0.0000 0.0000 0.0000  12 Bi 3.49
Bi 0.0000 0.5000 0.5000  8 Bi 3.49, 4 Tl 3.49
Bi 0.5000 0.0000 0.5000  8 Bi 3.49, 4 Tl 3.49
Bi 0.5000 0.5000 0.0000  4 Tl 3.49, 8 Bi 3.49

VASP calculation (meta-GGA SCAN) on a PBEsol-optimized structure of Tl2Zn2Bi.

Values from the calculation:
**Symmetry**: I4/mmm, No. 139
**Magnetic moment**: 0.00 μB per formula unit
**Energy relative to the elements**: 0.26 eV/atom
**Uncorrected energy**: -49.809 eV per atom
**Excess energy over the best structure of this formula in the dataset**: 0.68 eV per formula unit

Cell: 4.3867 4.3867 6.9476 Å, 108.40 108.40 90.00°
Last column: nearest neighbours and their distance in Å.
Element x y z (fractional)
Zn 0.4046 0.4046 0.8093  1 Zn 2.37
Zn 0.5954 0.5954 0.1907  1 Zn 2.37
Tl 0.2500 0.7500 0.5000  4 Zn 2.92, 4 Tl 3.10
Tl 0.7500 0.2500 0.5000  4 Zn 2.92, 4 Tl 3.10
Bi 0.0000 0.0000 0.0000  8 Zn 3.32